## Zr2Ni3Rh3 (PBE)

Data for Zr2Ni3Rh3 after structural relaxation.

Lattice parameters (Å, degrees): 3.8956 3.9109 7.6504 90.00 90.00 90.00
Closest atoms and distances in Å follow each position.
Fractional coordinates of all 8 atoms:
Zr 0.0000 0.0000 0.2474  6 Rh 2.72-2.75, 6 Ni 2.72-2.76
Zr 0.0000 0.0000 0.7526  6 Rh 2.72-2.75, 6 Ni 2.72-2.76
Ni 0.0000 0.5000 0.0000  4 Ni 2.71, 4 Zr 2.72, 4 Rh 2.76
Ni 0.5000 0.5000 0.2456  2 Ni 2.71, 6 Rh 2.71-2.76, 4 Zr 2.76
Ni 0.5000 0.5000 0.7544  2 Ni 2.71, 6 Rh 2.71-2.76, 4 Zr 2.76
Rh 0.0000 0.5000 0.5000  4 Zr 2.75, 4 Ni 2.75, 4 Rh 2.76
Rh 0.5000 0.0000 0.0000  8 Ni 2.71-2.76, 4 Zr 2.72
Rh 0.5000 0.0000 0.5000  4 Zr 2.74, 4 Ni 2.76, 4 Rh 2.76

Results
Size of the total moment ... 1.2 μB/f.u.
Energy relative to the elements ... -0.560 eV per atom
DOS at the Fermi energy ... 1.191 states/eV/atom
Final energy ... -60.98 eV per cell

---

## ZrNiRh2 (PBE)

Data for ZrNiRh2 after structural relaxation.

Lattice parameters (Å, degrees): 9.2216 9.2216 9.2216 155.76 155.76 34.54
Closest atoms and distances in Å follow each position.
Fractional coordinates of all 8 atoms:
Zr 0.0000 0.0000 0.0000  4 Rh 2.65, 4 Ni 2.74
Zr 0.7500 0.2500 0.5000  4 Rh 2.65, 4 Ni 2.74
Ni 0.2500 0.7500 0.5000  4 Rh 2.54, 4 Zr 2.74
Ni 0.5000 0.5000 0.0000  4 Rh 2.54, 4 Zr 2.74
Rh 0.1610 0.6250 0.0360  2 Ni 2.54, 2 Rh 2.55, 2 Zr 2.65
Rh 0.3750 0.4110 0.5360  2 Ni 2.54, 2 Rh 2.55, 2 Zr 2.65
Rh 0.5890 0.1250 0.9640  2 Ni 2.54, 2 Rh 2.55, 2 Zr 2.65
Rh 0.8750 0.8390 0.4640  2 Ni 2.54, 2 Rh 2.55, 2 Zr 2.65

Results
Size of the total moment ... 0.0 μB/f.u.
Energy relative to the elements ... -0.137 eV per atom
DOS at the Fermi energy ... 1.034 states/eV/atom
Final energy ... -59.16 eV per cell

---

## ZrNi2Rh (PBE)

Data for ZrNi2Rh after structural relaxation.

Lattice parameters (Å, degrees): 3.1395 3.4301 5.3658 90.00 90.10 90.00
Closest atoms and distances in Å follow each position.
Fractional coordinates of all 4 atoms:
Zr 0.0000 0.0000 0.0000  2 Rh 2.68, 8 Ni 2.72
Ni 0.5003 0.5000 0.2636  2 Ni 2.54-2.83, 4 Rh 2.65, 4 Zr 2.72
Ni 0.4997 0.5000 0.7364  2 Ni 2.54-2.83, 4 Rh 2.65, 4 Zr 2.72
Rh 0.0000 0.0000 0.5000  8 Ni 2.65, 2 Zr 2.68

Results
Size of the total moment ... 0.0 μB/f.u.
Energy relative to the elements ... -0.284 eV per atom
DOS at the Fermi energy ... 1.309 states/eV/atom
Final energy ... -28.60 eV per cell

---

## ZrNiRh (PBE)

Data for ZrNiRh after structural relaxation.

Lattice parameters (Å, degrees): 7.0811 7.0811 7.0811 34.12 34.12 34.12
Closest atoms and distances in Å follow each position.
Fractional coordinates of all 6 atoms:
Zr 0.0000 0.0000 0.0000  4 Ni 2.66-2.76, 6 Rh 2.76-2.95
Zr 0.4688 0.4688 0.4688  4 Ni 2.59-2.73, 3 Rh 2.75
Ni 0.5981 0.5981 0.5981  3 Rh 2.42, 1 Zr 2.59
Ni 0.8670 0.8670 0.8670  4 Rh 2.58-2.65, 4 Zr 2.66-2.73, 3 Ni 2.72
Rh 0.2473 0.2473 0.2473  6 Ni 2.42-2.58
Rh 0.7345 0.7345 0.7345  2 Ni 2.65-2.73, 6 Zr 2.75-2.76

Results
Size of the total moment ... 0.0 μB/f.u.
Energy relative to the lowest polymorph listed for this composition ... 0.37 eV/f.u.
Energy relative to the elements ... -0.426 eV per atom
DOS at the Fermi energy ... 0.756 states/eV/atom
Final energy ... -45.92 eV per cell

---

## Zr7Ni2Rh2 (PBE)

Data for Zr7Ni2Rh2 after structural relaxation.

Lattice parameters (Å, degrees): 8.6214 8.6214 8.6214 157.15 66.88 118.11
Closest atoms and distances in Å follow each position.
Fractional coordinates of all 11 atoms:
Zr 0.0000 0.0000 0.0000  2 Rh 2.80
Zr 0.0856 0.3965 0.6891  3 Ni 2.57-2.86
Zr 0.1368 0.7592 0.3776  2 Ni 2.68, 2 Rh 2.70
Zr 0.3815 0.7592 0.6224  2 Ni 2.68, 2 Rh 2.70
Zr 0.4923 0.6160 0.8763  3 Rh 2.71-2.74, 2 Ni 2.73
Zr 0.7075 0.3965 0.3109  3 Ni 2.57-2.86
Zr 0.7397 0.6160 0.1237  3 Rh 2.71-2.74, 2 Ni 2.73
Ni 0.3318 0.1031 0.2287  7 Zr 2.57-2.86
Ni 0.8745 0.1031 0.7713  7 Zr 2.57-2.86
Rh 0.3853 0.3853 0.0000  6 Zr 2.70-2.71
Rh 0.7503 0.2503 0.5000  8 Zr 2.74-3.01

Results
Size of the total moment ... 0.0 μB/f.u.
Energy relative to the elements ... -0.381 eV per atom
DOS at the Fermi energy ... 1.161 states/eV/atom
Final energy ... -90.30 eV per cell

---

## ZrNiRh2 (PBE)

Data for ZrNiRh2 after structural relaxation.

Lattice parameters (Å, degrees): 8.9224 8.9224 8.9224 18.41 18.41 18.41
Closest atoms and distances in Å follow each position.
Fractional coordinates of all 4 atoms:
Zr 0.0000 0.0000 0.0000  6 Zr 2.85, 6 Rh 2.88
Ni 0.5000 0.5000 0.5000  6 Rh 2.61, 6 Ni 2.85
Rh 0.2436 0.2436 0.2436  3 Ni 2.61, 6 Rh 2.85, 3 Zr 2.88
Rh 0.7564 0.7564 0.7564  3 Ni 2.61, 6 Rh 2.85, 3 Zr 2.88

Results
Size of the total moment ... 1.5 μB/f.u.
Energy relative to the elements ... -0.003 eV per atom
DOS at the Fermi energy ... 1.524 states/eV/atom
Final energy ... -29.05 eV per cell

---

| no. | mass density (g/cm3) |
| --- | --- |
| 1 | 9.506 |
| 2 | 8.948 |
| 3 | 8.952 |
| 4 | 8.430 |
| 5 | 7.330 |
| 6 | 9.546 |